Computed, not measured: MnSn3Os after structural relaxation at the PBE level of DFT.

Calculated values
- crystal system = cubic
- polymorph energy (0 for the lowest one) (meV per atom) = 0
- calculated formation energy (eV per atom) = 0.69
- magnetic moment (μB per atom) = 0.77

Lattice parameters (Å, degrees): 5.2131 5.2131 5.2131 90.00 90.00 90.00
With the nearest neighbours (Å) after each atom.
Atoms (fractional coordinates):
Mn (0.5000, 0.5000, 0.5000)  12 Sn 3.69
Os (0.0000, 0.0000, 0.0000)  6 Sn 2.61
Sn (0.0000, 0.5000, 0.0000)  2 Os 2.61
Sn (0.0000, 0.0000, 0.5000)  2 Os 2.61
Sn (0.5000, 0.0000, 0.0000)  2 Os 2.61